VASP calculation (PBE with a Hubbard U) on Sr2CuMoO6 after structural relaxation.

Cell lengths 5.8006, 5.8006, 5.8006 Å; angles 124.17, 124.17, 82.92 degrees
Positions (direct):
Sr (0.2500, 0.7500, 0.5000)
Sr (0.7500, 0.2500, 0.5000)
Cu (0.0000, 0.0000, 0.0000)
Mo (0.5000, 0.5000, 0.0000)
O (0.1995, 0.3044, 0.5040)
O (0.2758, 0.2758, 0.0000)
O (0.3044, 0.8005, 0.1049)
O (0.6956, 0.1995, 0.8951)
O (0.7242, 0.7242, 0.0000)
O (0.8005, 0.6956, 0.4960)

electronic total energy = -6.43 eV/atom
N(E_F) = 0.2104 states/eV/atom
magnetization = 0.73 μB/f.u.
volume = 128.2 Å³/cell